Entry 1:
Density functional theory data (PBE) for crystalline TiVFeCu at its relaxed geometry.

Cell lengths 5.939, 5.939, 5.939 Å; angles 90.00, 90.00, 90.00 degrees
Space group F-43m (No. 216)
Unique sites:
Ti: 0.000 0.000 0.000
V: 0.000 0.000 0.500
Fe: 0.250 0.250 0.750
Cu: 0.250 0.250 0.250

Computed properties:
The value obtained for the energy of formation from the pure elements is -0.0321 eV per atom. For the density of states at the Fermi level, the calculation gives 11.4 states/eV/cell. Its energy is -118.8 eV/cell.


Entry 2:
Density functional theory data (PBE) for crystalline TiZnFeCu at its relaxed geometry.

Cell lengths 5.941, 5.941, 5.941 Å; angles 90.00, 90.00, 90.00 degrees
Space group F-43m (No. 216)
Unique sites:
Ti: 0.000 0.000 0.000
Zn: 0.000 0.000 0.500
Fe: 0.250 0.250 0.750
Cu: 0.250 0.250 0.250

Computed properties:
The value obtained for the energy of formation from the pure elements is -0.0654 eV per atom. For the density of states at the Fermi level, the calculation gives 10.3 states/eV/cell. Its energy is -88.0 eV/cell.


Entry 3:
Density functional theory data (PBE) for crystalline TlFe2Cu at its relaxed geometry.

Cell lengths 4.003, 4.003, 7.303 Å; angles 90.00, 90.00, 90.00 degrees
Space group I-4m2 (No. 119)
Unique sites:
Tl: 0.000 0.000 0.000
Fe: 0.000 0.000 0.500
Fe: 0.000 0.500 0.250
Cu: 0.000 0.500 0.750

Computed properties:
The excess energy over the best structure of this formula in the dataset is 76.9 meV/atom. The value obtained for the energy of formation from the pure elements is 0.4356 eV per atom. For the density of states at the Fermi level, the calculation gives 5.2 states/eV/cell. Its energy is -43.3 eV/cell.


Entry 4:
Density functional theory data (PBE) for crystalline TlFe2Cu at its relaxed geometry.

Cell lengths 2.9047, 2.9047, 25.6264 Å; angles 90.00, 90.00, 120.00 degrees
Space group R-3m (No. 166, hexagonal axes)
Unique sites:
Tl: 0.0000 0.0000 0.0000
Fe: 0.0000 0.0000 0.2418
Cu: 0.0000 0.0000 0.5000

Computed properties:
The excess energy over the best structure of this formula in the dataset is 308.5 meV/atom. The value obtained for the energy of formation from the pure elements is 0.6672 eV per atom. For the density of states at the Fermi level, the calculation gives 12.0 states/eV/cell. Its energy is -62.2 eV/cell.